[1]
DFT (PBE) results for crystalline KBa2FeAu at its relaxed geometry. Values from VASP.

Structure (Quantum ESPRESSO input):
```
&SYSTEM
  ibrav = 0, nat = 5, ntyp = 4
/
ATOMIC_SPECIES
K 39.10 K.upf
Au 196.97 Au.upf
Ba 137.33 Ba.upf
Fe 55.84 Fe.upf
CELL_PARAMETERS angstrom
5.583 0.000 0.000
0.000 5.944 0.000
0.000 0.000 5.583
ATOMIC_POSITIONS crystal
K 0.000 0.500 0.000
Au 0.500 0.500 0.500
Ba 0.000 0.000 0.500
Ba 0.500 0.000 0.000
Fe 0.000 0.000 0.000
```

Computed properties:
* M_tot: 0.00 μB per formula unit
* space-group type: P4/mmm
* ΔH_f (0 K): 0.519 eV/atom
* raw total energy: -2.818 eV/atom

***

[2]
DFT (PBE) results for crystalline CuAs2Ir at its relaxed geometry. Values from VASP.

Structure (Quantum ESPRESSO input):
```
&SYSTEM
  ibrav = 0, nat = 4, ntyp = 3
/
ATOMIC_SPECIES
As 74.92 As.upf
Cu 63.55 Cu.upf
Ir 192.22 Ir.upf
CELL_PARAMETERS angstrom
-1.255 1.192 2.389
1.772 -2.368 2.112
5.017 4.225 0.528
ATOMIC_POSITIONS crystal
As 0.000 0.000 0.906
As 0.500 0.500 0.351
Cu 0.000 0.000 0.507
Ir 0.500 0.500 0.737
```

Computed properties:
* M_tot: 0.00 μB per formula unit
* space-group type: Pmm2
* ΔH_f (0 K): 0.064 eV/atom
* polymorph energy (0 for the lowest one): 12.1 meV per atom
* raw total energy: -5.500 eV/atom

***

[3]
DFT (PBE) results for crystalline EuPd3 at its relaxed geometry. Values from VASP.

Structure (Quantum ESPRESSO input):
```
&SYSTEM
  ibrav = 0, nat = 4, ntyp = 2
/
ATOMIC_SPECIES
Eu 151.96 Eu.upf
Pd 106.42 Pd.upf
CELL_PARAMETERS angstrom
4.192 0.000 0.000
0.000 4.193 0.000
0.000 0.000 4.193
ATOMIC_POSITIONS crystal
Eu 0.000 0.500 0.417
Pd 0.000 0.000 0.917
Pd 0.500 0.000 0.417
Pd 0.500 0.500 0.917
```

Computed properties:
* M_tot: 6.69 μB per formula unit
* space-group type: Pm-3m
* ΔH_f (0 K): -0.521 eV/atom
* polymorph energy (0 for the lowest one): 0.0 meV per atom
* raw total energy: -6.984 eV/atom

***

[4]
DFT (PBE) results for crystalline DySi3Rh3 at its relaxed geometry. Values from VASP.

Structure (Quantum ESPRESSO input):
```
&SYSTEM
  ibrav = 0, nat = 14, ntyp = 3
/
ATOMIC_SPECIES
Dy 162.50 Dy.upf
Si 28.09 Si.upf
Rh 102.91 Rh.upf
CELL_PARAMETERS angstrom
-3.581 -2.810 4.934
2.590 -5.069 3.559
2.199 1.675 7.117
ATOMIC_POSITIONS crystal
Dy 0.332 0.332 0.003
Dy 0.668 0.668 0.997
Si 0.199 0.636 0.276
Si 0.890 0.199 0.276
Si 0.636 0.890 0.276
Si 0.364 0.110 0.724
Si 0.110 0.801 0.724
Si 0.801 0.364 0.724
Rh 0.498 0.760 0.646
Rh 0.760 0.095 0.646
Rh 0.095 0.498 0.646
Rh 0.905 0.502 0.354
Rh 0.240 0.905 0.354
Rh 0.502 0.240 0.354
```

Computed properties:
* M_tot: 0.00 μB per formula unit
* space-group type: R-3
* polymorph energy (0 for the lowest one): 59.2 meV per atom
* raw total energy: -6.820 eV/atom

***

[5]
DFT (PBE) results for crystalline KMgMo2 at its relaxed geometry. Values from VASP.

Structure (Quantum ESPRESSO input):
```
&SYSTEM
  ibrav = 0, nat = 4, ntyp = 3
/
ATOMIC_SPECIES
K 39.10 K.upf
Mg 24.30 Mg.upf
Mo 95.94 Mo.upf
CELL_PARAMETERS angstrom
6.256 -0.002 0.057
5.671 2.643 0.057
1.730 0.383 4.900
ATOMIC_POSITIONS crystal
K 0.750 0.750 0.750
Mg 0.250 0.250 0.250
Mo 0.978 0.978 0.022
Mo 0.522 0.522 0.478
```

Computed properties:
* M_tot: 0.00 μB per formula unit
* space-group type: C2/m
* ΔH_f (0 K): 1.059 eV/atom
* raw total energy: -5.029 eV/atom

***

[6]
DFT (PBE) results for crystalline CdBI3 at its relaxed geometry. Values from VASP.

Structure (Quantum ESPRESSO input):
```
&SYSTEM
  ibrav = 0, nat = 5, ntyp = 3
/
ATOMIC_SPECIES
I 126.90 I.upf
B 10.81 B.upf
Cd 112.41 Cd.upf
CELL_PARAMETERS angstrom
5.876 0.000 0.000
0.000 5.876 0.000
0.000 0.000 5.876
ATOMIC_POSITIONS crystal
I 0.000 0.500 0.000
I 0.000 0.000 0.500
I 0.500 0.000 0.000
B 0.500 0.500 0.500
Cd 0.000 0.000 0.000
```

Computed properties:
* M_tot: 0.00 μB per formula unit
* space-group type: Pm-3m
* polymorph energy (0 for the lowest one): 293.0 meV per atom
* raw total energy: -1.608 eV/atom

***

[7]
DFT (PBE) results for crystalline Tm3FeGe at its relaxed geometry. Values from VASP.

Structure (Quantum ESPRESSO input):
```
&SYSTEM
  ibrav = 0, nat = 10, ntyp = 3
/
ATOMIC_SPECIES
Tm 168.93 Tm.upf
Fe 55.84 Fe.upf
Ge 72.64 Ge.upf
CELL_PARAMETERS angstrom
-1.173 -0.523 3.517
-0.513 -7.174 -3.227
7.748 -0.993 2.441
ATOMIC_POSITIONS crystal
Tm 0.073 0.180 0.404
Tm 0.421 0.876 0.650
Tm 0.623 0.279 0.771
Tm 0.970 0.974 0.017
Tm 0.269 0.570 0.019
Tm 0.775 0.584 0.403
Fe 0.245 0.523 0.676
Fe 0.799 0.632 0.746
Ge 0.413 0.859 0.284
Ge 0.631 0.295 0.138
```

Computed properties:
* M_tot: 0.00 μB per formula unit
* space-group type: Cm
* ΔH_f (0 K): -0.333 eV/atom
* raw total energy: -5.632 eV/atom

***

[8]
DFT (PBE) results for crystalline RePt2Se at its relaxed geometry. Values from VASP.

Structure (Quantum ESPRESSO input):
```
&SYSTEM
  ibrav = 0, nat = 4, ntyp = 3
/
ATOMIC_SPECIES
Pt 195.08 Pt.upf
Re 186.21 Re.upf
Se 78.96 Se.upf
CELL_PARAMETERS angstrom
-4.433 -1.492 2.074
-2.557 -3.854 2.189
1.260 1.200 4.041
ATOMIC_POSITIONS crystal
Pt 0.973 0.973 0.010
Pt 0.527 0.527 0.490
Re 0.250 0.250 0.250
Se 0.750 0.750 0.750
```

Computed properties:
* M_tot: 0.00 μB per formula unit
* space-group type: C2/m
* raw total energy: -6.673 eV/atom

***

[9]
DFT (PBE) results for crystalline ZrSn3Te at its relaxed geometry. Values from VASP.

Structure (Quantum ESPRESSO input):
```
&SYSTEM
  ibrav = 0, nat = 5, ntyp = 3
/
ATOMIC_SPECIES
Te 127.60 Te.upf
Sn 118.71 Sn.upf
Zr 91.22 Zr.upf
CELL_PARAMETERS angstrom
-0.475 3.406 -4.440
0.473 -4.415 -3.437
-5.575 -0.665 0.086
ATOMIC_POSITIONS crystal
Te 0.500 0.500 0.500
Sn 0.000 0.500 0.000
Sn 0.000 0.000 0.500
Sn 0.500 0.000 0.000
Zr 0.000 0.000 0.000
```

Computed properties:
* M_tot: 0.00 μB per formula unit
* space-group type: Pm-3m
* polymorph energy (0 for the lowest one): 0.0 meV per atom
* raw total energy: -4.332 eV/atom

***

[10]
DFT (PBE) results for crystalline YMo5 at its relaxed geometry. Values from VASP.

Structure (Quantum ESPRESSO input):
```
&SYSTEM
  ibrav = 0, nat = 6, ntyp = 2
/
ATOMIC_SPECIES
Y 88.91 Y.upf
Mo 95.94 Mo.upf
CELL_PARAMETERS angstrom
1.542 -2.670 0.000
1.542 2.670 0.000
0.000 0.000 13.178
ATOMIC_POSITIONS crystal
Y 0.667 0.333 0.500
Mo 0.000 0.000 0.698
Mo 0.000 0.000 0.000
Mo 0.000 0.000 0.302
Mo 0.667 0.333 0.843
Mo 0.667 0.333 0.157
```

Computed properties:
* M_tot: 0.00 μB per formula unit
* space-group type: P-6m2
* ΔH_f (0 K): 0.562 eV/atom
* polymorph energy (0 for the lowest one): 360.0 meV per atom
* raw total energy: -9.542 eV/atom

***

[11]
DFT (PBE) results for crystalline SrDy2Hg at its relaxed geometry. Values from VASP.

Structure (Quantum ESPRESSO input):
```
&SYSTEM
  ibrav = 0, nat = 4, ntyp = 3
/
ATOMIC_SPECIES
Sr 87.62 Sr.upf
Hg 200.59 Hg.upf
Dy 162.50 Dy.upf
CELL_PARAMETERS angstrom
3.725 0.000 0.000
1.862 3.226 0.000
1.862 1.075 11.649
ATOMIC_POSITIONS crystal
Sr 0.000 0.000 0.000
Hg 0.500 0.500 0.500
Dy 0.102 0.102 0.694
Dy 0.898 0.898 0.306
```

Computed properties:
* M_tot: 0.11 μB per formula unit
* space-group type: R-3m
* ΔH_f (0 K): 0.079 eV/atom
* polymorph energy (0 for the lowest one): 183.7 meV per atom
* raw total energy: -2.718 eV/atom

***

[12]
DFT (PBE) results for crystalline LiCa2Co at its relaxed geometry. Values from VASP.

Structure (Quantum ESPRESSO input):
```
&SYSTEM
  ibrav = 0, nat = 4, ntyp = 3
/
ATOMIC_SPECIES
Ca 40.08 Ca.upf
Co 58.93 Co.upf
Li 6.94 Li.upf
CELL_PARAMETERS angstrom
3.500 0.000 0.000
0.000 3.479 -0.062
0.000 3.622 8.215
ATOMIC_POSITIONS crystal
Ca 0.000 0.948 0.052
Ca 0.000 0.552 0.448
Co 0.500 0.250 0.250
Li 0.500 0.750 0.750
```

Computed properties:
* M_tot: 0.45 μB per formula unit
* space-group type: Pmmm
* ΔH_f (0 K): 0.212 eV/atom
* raw total energy: -3.043 eV/atom

***

Question: What is the raw total energy in the fourth record?
Answer: -6.820 eV/atom

***

Please write out number 9 again, unchanged.
DFT (PBE) results for crystalline ZrSn3Te at its relaxed geometry. Values from VASP.

Structure (Quantum ESPRESSO input):
```
&SYSTEM
  ibrav = 0, nat = 5, ntyp = 3
/
ATOMIC_SPECIES
Te 127.60 Te.upf
Sn 118.71 Sn.upf
Zr 91.22 Zr.upf
CELL_PARAMETERS angstrom
-0.475 3.406 -4.440
0.473 -4.415 -3.437
-5.575 -0.665 0.086
ATOMIC_POSITIONS crystal
Te 0.500 0.500 0.500
Sn 0.000 0.500 0.000
Sn 0.000 0.000 0.500
Sn 0.500 0.000 0.000
Zr 0.000 0.000 0.000
```

Computed properties:
* M_tot: 0.00 μB per formula unit
* space-group type: Pm-3m
* polymorph energy (0 for the lowest one): 0.0 meV per atom
* raw total energy: -4.332 eV/atom

***

What did the eighth record say?
DFT (PBE) results for crystalline RePt2Se at its relaxed geometry. Values from VASP.

Structure (Quantum ESPRESSO input):
```
&SYSTEM
  ibrav = 0, nat = 4, ntyp = 3
/
ATOMIC_SPECIES
Pt 195.08 Pt.upf
Re 186.21 Re.upf
Se 78.96 Se.upf
CELL_PARAMETERS angstrom
-4.433 -1.492 2.074
-2.557 -3.854 2.189
1.260 1.200 4.041
ATOMIC_POSITIONS crystal
Pt 0.973 0.973 0.010
Pt 0.527 0.527 0.490
Re 0.250 0.250 0.250
Se 0.750 0.750 0.750
```

Computed properties:
* M_tot: 0.00 μB per formula unit
* space-group type: C2/m
* raw total energy: -6.673 eV/atom

***

Question: Number 10 is which compound?
Answer: YMo5